Record 1
Here is a relaxed structure of CdMo3P from Alexandria via LeMat-Bulk. Energies are from GGA-PBE.

Unit cell a=4.496 b=4.496 c=4.496 alpha=90.00 beta=90.00 gamma=90.00
Fractional positions:
P (0.000, 0.000, 0.000)
Mo (0.000, 0.500, 0.000)
Mo (0.000, 0.000, 0.500)
Mo (0.500, 0.000, 0.000)
Cd (0.500, 0.500, 0.500)

Relative energy among the computed polymorphs ... 0.0 meV per atom
DFT total energy ... -7.22 eV/atom
E_form ... 0.539 eV/atom
V ... 18.18 Å³ per atom

Record 2
Here is a relaxed structure of Na2RhF5 from Alexandria via LeMat-Bulk. Energies are from GGA-PBE.

Unit cell a=4.310 b=4.734 c=6.301 alpha=81.04 beta=70.00 gamma=62.92
Fractional positions:
Na (0.817, 0.500, 0.866)
Na (0.183, 0.500, 0.134)
Rh (0.500, 0.500, 0.500)
F (0.221, 0.788, 0.770)
F (0.491, 0.788, 0.230)
F (0.000, 0.500, 0.500)
F (0.779, 0.212, 0.230)
F (0.509, 0.212, 0.770)

Formation energy from raw total energies ... -1962 meV per atom
Relative energy among the computed polymorphs ... 202.1 meV per atom
DFT total energy ... -4.38 eV/atom
V ... 13.44 Å³ per atom

Record 3
Here is a relaxed structure of CsDy2Cl8 from Alexandria via LeMat-Bulk. Energies are from GGA-PBE.

Unit cell a=8.774 b=6.989 c=6.989 alpha=73.72 beta=79.97 gamma=79.97
Fractional positions:
Cs (0.000, 0.000, 0.000)
Dy (0.463, 0.322, 0.322)
Dy (0.537, 0.678, 0.678)
Cl (0.358, 0.667, 0.046)
Cl (0.642, 0.954, 0.333)
Cl (0.207, 0.239, 0.239)
Cl (0.793, 0.761, 0.761)
Cl (0.358, 0.046, 0.667)
Cl (0.642, 0.333, 0.954)
Cl (0.697, 0.439, 0.439)
Cl (0.303, 0.561, 0.561)

Formation energy from raw total energies ... -1957 meV per atom
DFT total energy ... -4.21 eV/atom
V ... 36.50 Å³ per atom

Record 4
Here is a relaxed structure of InAg2Bi2 from Alexandria via LeMat-Bulk. Energies are from GGA-PBE.

Unit cell a=9.031 b=9.031 c=3.256 alpha=90.00 beta=90.00 gamma=90.00
Fractional positions:
Bi (0.354, 0.854, 0.000)
Bi (0.854, 0.646, 0.000)
Bi (0.646, 0.146, 0.000)
Bi (0.146, 0.354, 0.000)
Ag (0.153, 0.653, 0.500)
Ag (0.653, 0.847, 0.500)
Ag (0.847, 0.347, 0.500)
Ag (0.347, 0.153, 0.500)
In (0.000, 0.000, 0.000)
In (0.500, 0.500, 0.000)

Relative energy among the computed polymorphs ... 71.9 meV per atom
DFT total energy ... -3.10 eV/atom
E_form ... 0.137 eV/atom
V ... 26.56 Å³ per atom

Record 5
Here is a relaxed structure of Sr2Cu5Ni5 from Alexandria via LeMat-Bulk. Energies are from GGA-PBE.

Unit cell a=3.986 b=5.122 c=8.943 alpha=90.00 beta=90.00 gamma=90.00
Fractional positions:
Sr (0.000, 0.500, 0.000)
Sr (0.000, 0.000, 0.500)
Cu (0.000, 0.500, 0.333)
Cu (0.000, 0.000, 0.826)
Cu (0.000, 0.000, 0.174)
Cu (0.000, 0.500, 0.667)
Cu (0.500, 0.000, 0.000)
Ni (0.500, 0.500, 0.500)
Ni (0.500, 0.751, 0.253)
Ni (0.500, 0.249, 0.747)
Ni (0.500, 0.249, 0.253)
Ni (0.500, 0.751, 0.747)

Relative energy among the computed polymorphs ... 0.0 meV per atom
DFT total energy ... -4.47 eV/atom
E_form ... -0.070 eV/atom
V ... 15.21 Å³ per atom

Record 6
Here is a relaxed structure of CaFe2AsN from Alexandria via LeMat-Bulk. Energies are from GGA-PBE.

Unit cell a=3.740 b=5.611 c=6.837 alpha=90.00 beta=90.00 gamma=109.47
Fractional positions:
Ca (0.455, 0.909, 0.750)
Ca (0.545, 0.091, 0.250)
Fe (0.160, 0.320, 0.945)
Fe (0.840, 0.680, 0.055)
Fe (0.160, 0.320, 0.555)
Fe (0.840, 0.680, 0.445)
As (0.730, 0.461, 0.750)
As (0.270, 0.539, 0.250)
N (0.000, 0.000, 0.000)
N (0.000, 0.000, 0.500)

Formation energy from raw total energies ... -593 meV per atom
DFT total energy ... -6.97 eV/atom
V ... 13.53 Å³ per atom

Record 7
Here is a relaxed structure of RbTl2GaSn from Alexandria via LeMat-Bulk. Energies are from GGA-PBE.

Unit cell a=5.769 b=5.769 c=5.529 alpha=90.00 beta=90.00 gamma=90.00
Fractional positions:
Tl (0.000, 0.500, 0.000)
Tl (0.500, 0.000, 0.000)
Ga (0.000, 0.000, 0.000)
Sn (0.000, 0.000, 0.500)
Rb (0.500, 0.500, 0.500)

DFT total energy ... -2.48 eV/atom
E_form ... 0.064 eV/atom
V ... 36.80 Å³ per atom

Record 8
Here is a relaxed structure of Dy2HoGa4 from Alexandria via LeMat-Bulk. Energies are from GGA-PBE.

Unit cell a=4.124 b=4.240 c=9.577 alpha=102.79 beta=102.44 gamma=90.00
Fractional positions:
Ho (0.500, 0.000, 0.000)
Ga (0.646, 0.646, 0.293)
Ga (0.354, 0.354, 0.707)
Ga (0.067, 0.567, 0.133)
Ga (0.933, 0.433, 0.867)
Dy (0.815, 0.815, 0.630)
Dy (0.185, 0.185, 0.370)

DFT total energy ... -4.32 eV/atom
E_form ... -0.625 eV/atom
V ... 22.76 Å³ per atom

Record 9
Here is a relaxed structure of Ce2YAs3 from Alexandria via LeMat-Bulk. Energies are from GGA-PBE.

Unit cell a=5.926 b=8.373 c=12.554 alpha=90.00 beta=90.00 gamma=90.00
Fractional positions:
Ce (0.250, 0.875, 0.749)
Ce (0.250, 0.375, 0.751)
Ce (0.250, 0.874, 0.417)
Ce (0.250, 0.374, 0.083)
Ce (0.750, 0.626, 0.917)
Ce (0.750, 0.126, 0.583)
Ce (0.750, 0.625, 0.249)
Ce (0.750, 0.125, 0.251)
Y (0.250, 0.876, 0.084)
Y (0.250, 0.376, 0.416)
Y (0.750, 0.624, 0.584)
Y (0.750, 0.124, 0.916)
As (0.250, 0.623, 0.583)
As (0.250, 0.123, 0.917)
As (0.250, 0.628, 0.918)
As (0.250, 0.128, 0.582)
As (0.250, 0.625, 0.250)
As (0.250, 0.125, 0.250)
As (0.750, 0.875, 0.750)
As (0.750, 0.375, 0.750)
As (0.750, 0.872, 0.418)
As (0.750, 0.372, 0.082)
As (0.750, 0.877, 0.083)
As (0.750, 0.377, 0.417)

DFT total energy ... -6.84 eV/atom
E_form ... -1.464 eV/atom
V ... 25.96 Å³ per atom

Record 10
Here is a relaxed structure of ReTcW14 from Alexandria via LeMat-Bulk. Energies are from GGA-PBE.

Unit cell a=5.498 b=5.498 c=8.988 alpha=90.00 beta=90.00 gamma=109.51
Fractional positions:
Re (0.625, 0.375, 0.500)
Tc (0.125, 0.875, 0.500)
W (0.125, 0.875, 0.000)
W (0.625, 0.375, 0.000)
W (0.125, 0.375, 0.500)
W (0.125, 0.375, 0.000)
W (0.625, 0.875, 0.500)
W (0.625, 0.875, 0.000)
W (0.375, 0.125, 0.750)
W (0.375, 0.125, 0.250)
W (0.875, 0.625, 0.750)
W (0.875, 0.625, 0.250)
W (0.375, 0.625, 0.748)
W (0.375, 0.625, 0.252)
W (0.875, 0.125, 0.748)
W (0.875, 0.125, 0.252)

DFT total energy ... -12.74 eV/atom
E_form ... 0.020 eV/atom
V ... 16.00 Å³ per atom

Record 11
Here is a relaxed structure of Y7Er4In from Alexandria via LeMat-Bulk. Energies are from GGA-PBE.

Unit cell a=5.827 b=9.545 c=8.740 alpha=59.94 beta=70.53 gamma=72.23
Fractional positions:
Y (0.788, 0.863, 0.561)
Y (0.212, 0.137, 0.439)
Y (0.072, 0.587, 0.269)
Y (0.928, 0.413, 0.731)
Y (0.200, 0.790, 0.810)
Y (0.500, 0.000, 0.000)
Y (0.800, 0.210, 0.190)
Er (0.580, 0.308, 0.533)
Er (0.420, 0.692, 0.467)
Er (0.683, 0.600, 0.035)
Er (0.317, 0.400, 0.965)
In (0.000, 0.000, 0.000)

DFT total energy ... -5.38 eV/atom
E_form ... 0.142 eV/atom
V ... 32.58 Å³ per atom

Record 12
Here is a relaxed structure of Sr2BeAsO6 from Alexandria via LeMat-Bulk. Energies are from GGA-PBE.

Unit cell a=5.422 b=5.422 c=9.476 alpha=73.37 beta=73.37 gamma=60.00
Fractional positions:
Sr (0.870, 0.870, 0.389)
Sr (0.130, 0.130, 0.611)
Sr (0.712, 0.712, 0.864)
Sr (0.288, 0.288, 0.136)
Be (0.000, 0.000, 0.000)
Be (0.500, 0.500, 0.500)
As (0.589, 0.589, 0.233)
As (0.411, 0.411, 0.767)
O (0.848, 0.392, 0.368)
O (0.392, 0.848, 0.368)
O (0.392, 0.392, 0.368)
O (0.152, 0.608, 0.632)
O (0.608, 0.152, 0.632)
O (0.608, 0.608, 0.632)
O (0.705, 0.208, 0.878)
O (0.208, 0.705, 0.878)
O (0.208, 0.208, 0.878)
O (0.295, 0.792, 0.122)
O (0.792, 0.295, 0.122)
O (0.792, 0.792, 0.122)

Formation energy from raw total energies ... -2040 meV per atom
DFT total energy ... -6.19 eV/atom
V ... 11.39 Å³ per atom